Entry 1:
Density functional theory data (PBE-GGA) for a relaxed BTe2IrN crystal. Values from VASP.

Values from the calculation:
The value obtained for the formation energy without anion corrections is 1.13 eV per atom. The value obtained for the polymorph energy (0 for the lowest one) is 0.546 eV per atom. Its total energy is -4.8960 eV per atom.

Quantum ESPRESSO input file:
```
&SYSTEM
  ibrav = 0, nat = 5, ntyp = 4
/
ATOMIC_SPECIES
N 14.01 N.upf
B 10.81 B.upf
Te 127.60 Te.upf
Ir 192.22 Ir.upf
CELL_PARAMETERS angstrom
-0.686 1.972 -5.107
-5.436 0.364 0.871
0.426 3.377 1.247
ATOMIC_POSITIONS crystal
N 0.000 0.000 0.500
B 0.500 0.500 0.500
Te 0.500 0.000 0.000
Ir 0.000 0.000 0.000
Te 0.000 0.500 0.000
```

Entry 2:
Density functional theory data (PBE-GGA) for a relaxed NaB4Ir6 crystal. Values from VASP.

Values from the calculation:
The value obtained for the formation energy is -2.7 kJ/mol of atoms. Its total energy is -7.4090 eV per atom.

Quantum ESPRESSO input file:
```
&SYSTEM
  ibrav = 0, nat = 11, ntyp = 3
/
ATOMIC_SPECIES
B 10.81 B.upf
Na 22.99 Na.upf
Ir 192.22 Ir.upf
CELL_PARAMETERS angstrom
2.869 0.000 0.000
0.000 6.278 -3.624
0.000 0.000 7.249
ATOMIC_POSITIONS crystal
B 0.500 0.821 0.179
Na 0.000 0.000 0.000
Ir 0.000 0.546 0.091
Ir 0.500 0.614 0.807
B 0.500 0.821 0.643
Ir 0.500 0.193 0.386
Ir 0.000 0.546 0.454
B 0.500 0.357 0.179
Ir 0.000 0.909 0.454
Ir 0.500 0.193 0.807
B 0.000 0.333 0.667
```

Entry 3:
Density functional theory data (PBE-GGA) for a relaxed Na3BIr crystal. Values from VASP.

Values from the calculation:
The value obtained for the formation energy is 157.7 kJ/mol of atoms. The value obtained for the polymorph energy (0 for the lowest one) is 0.149 eV per atom. Its total energy is -2.2644 eV per atom.

Quantum ESPRESSO input file:
```
&SYSTEM
  ibrav = 0, nat = 5, ntyp = 3
/
ATOMIC_SPECIES
Na 22.99 Na.upf
Ir 192.22 Ir.upf
B 10.81 B.upf
CELL_PARAMETERS angstrom
-4.001 3.309 1.429
-3.337 -4.207 0.399
1.362 -0.589 5.176
ATOMIC_POSITIONS crystal
Na 0.000 0.500 0.000
Na 0.500 0.000 0.000
Ir 0.000 0.000 0.000
B 0.500 0.500 0.500
Na 0.000 0.000 0.500
```

Entry 4:
Density functional theory data (PBE-GGA) for a relaxed NaB3Ir crystal. Values from VASP.

Values from the calculation:
The value obtained for the formation energy is 64.8 kJ/mol of atoms. The value obtained for the polymorph energy (0 for the lowest one) is 0.000 eV per atom. Its total energy is -5.3713 eV per atom.

Quantum ESPRESSO input file:
```
&SYSTEM
  ibrav = 0, nat = 5, ntyp = 3
/
ATOMIC_SPECIES
B 10.81 B.upf
Na 22.99 Na.upf
Ir 192.22 Ir.upf
CELL_PARAMETERS angstrom
4.135 0.000 0.000
0.000 4.135 0.000
0.000 0.000 4.135
ATOMIC_POSITIONS crystal
B 0.000 0.000 0.500
Na 0.500 0.500 0.500
B 0.500 0.000 0.000
Ir 0.000 0.000 0.000
B 0.000 0.500 0.000
```

| no. | spin magnetization (μB/cell) |
| --- | --- |
| 1 | 0.00 |
| 2 | 0.00 |
| 3 | 0.00 |
| 4 | 0.95 |